[1]
Ca2MgFeC4O12 after structural relaxation. Source: the Alexandria database, functional PBE+U.

a = 4.8866 Å, b = 6.1153 Å, c = 7.8371 Å
α = 106.71°, β = 90.06°, γ = 90.50°
Fractional coordinates of all 20 atoms:
Ca: 0.0000 0.0000 0.0000
Ca: 0.5000 0.5000 0.5000
Mg: 0.0000 0.0000 0.5000
Fe: 0.5000 0.5000 0.0000
C: 0.0012 0.4865 0.7547
C: 0.5002 0.0125 0.7414
C: 0.4998 0.9875 0.2586
C: 0.9988 0.5135 0.2453
O: 0.1137 0.3456 0.6170
O: 0.1537 0.6169 0.8802
O: 0.2356 0.0030 0.2730
O: 0.2626 0.4964 0.2350
O: 0.3429 0.8875 0.6175
O: 0.3914 0.1472 0.8844
O: 0.6086 0.8528 0.1156
O: 0.6571 0.1125 0.3825
O: 0.7374 0.5036 0.7650
O: 0.7644 0.9970 0.7270
O: 0.8463 0.3831 0.1198
O: 0.8863 0.6544 0.3830

---

[2]
Ca3MgFe2C6O18 after structural relaxation. Source: the Alexandria database, functional PBE+U.

a = 4.8902 Å, b = 4.8902 Å, c = 16.2822 Å
α = 90.00°, β = 90.00°, γ = 120.00°
Fractional coordinates of all 30 atoms:
Ca: 0.0000 0.0000 0.0000
Ca: 0.3333 0.6667 0.6643
Ca: 0.6667 0.3333 0.3357
Mg: 0.0000 0.0000 0.5000
Fe: 0.3333 0.6667 0.1677
Fe: 0.6667 0.3333 0.8323
C: 0.0000 0.0000 0.2451
C: 0.0000 0.0000 0.7549
C: 0.3333 0.6667 0.4247
C: 0.3333 0.6667 0.9099
C: 0.6667 0.3333 0.0901
C: 0.6667 0.3333 0.5753
O: 0.0217 0.2758 0.2462
O: 0.0569 0.4135 0.9110
O: 0.0870 0.7017 0.4236
O: 0.2541 0.9783 0.2462
O: 0.2758 0.2541 0.7538
O: 0.2983 0.3854 0.4236
O: 0.3566 0.9431 0.9110
O: 0.3854 0.0870 0.5764
O: 0.4135 0.3566 0.0890
O: 0.5865 0.6434 0.9110
O: 0.6146 0.9130 0.4236
O: 0.6434 0.0569 0.0890
O: 0.7017 0.6146 0.5764
O: 0.7242 0.7459 0.2462
O: 0.7459 0.0217 0.7538
O: 0.9130 0.2983 0.5764
O: 0.9431 0.5865 0.0890
O: 0.9783 0.7242 0.7538

---

[3]
Ca3Mg2FeC6O18 after structural relaxation. Source: the Alexandria database, functional PBE+U.

a = 4.8756 Å, b = 6.1086 Å, c = 12.4797 Å
α = 100.00°, β = 90.35°, γ = 113.46°
Fractional coordinates of all 30 atoms:
Ca: 0.0000 0.0000 0.0000
Ca: 0.3359 0.6682 0.6688
Ca: 0.6641 0.3318 0.3312
Mg: 0.3348 0.6658 0.1665
Mg: 0.6652 0.3342 0.8335
Fe: 0.0000 0.0000 0.5000
C: 0.0076 0.0187 0.7492
C: 0.3218 0.6479 0.9193
C: 0.3432 0.6838 0.4135
C: 0.6568 0.3162 0.5865
C: 0.6782 0.3521 0.0807
C: 0.9924 0.9813 0.2508
O: 0.0626 0.9145 0.6569
O: 0.0784 0.6841 0.4213
O: 0.1229 0.5683 0.8364
O: 0.2071 0.1016 0.8320
O: 0.2512 0.9700 0.2402
O: 0.2643 0.7439 0.0129
O: 0.4147 0.5960 0.3209
O: 0.4174 0.3597 0.0927
O: 0.4666 0.2356 0.5006
O: 0.5334 0.7644 0.4994
O: 0.5826 0.6403 0.9073
O: 0.5853 0.4040 0.6791
O: 0.7357 0.2561 0.9871
O: 0.7488 0.0300 0.7598
O: 0.7929 0.8984 0.1680
O: 0.8771 0.4317 0.1636
O: 0.9216 0.3159 0.5787
O: 0.9374 0.0855 0.3431

---

Summary of V in Å³/cell
224.3; 337.2; 334.6
(order as listed above)
Summary of mass density in g cm⁻³
3.0; 3.0; 2.9
(order as listed above)
Summary of raw total energy in eV per atom
-7.391; -7.338; -7.371
(order as listed above)